Density functional theory data (GGA+U) for a relaxed structure of MnSiO3.

a = 6.803 Å, b = 7.727 Å, c = 12.029 Å
α = 105.75°, β = 92.52°, γ = 94.55°
Fractional coordinates of all 50 atoms:
Mn1 0.028 0.123 0.147
Mn2 0.129 0.316 0.447
Mn3 0.186 0.509 0.731
Mn4 0.210 0.702 0.028
Mn5 0.347 0.967 0.295
Mn6 0.653 0.033 0.705
Mn7 0.790 0.298 0.972
Mn8 0.814 0.491 0.269
Mn9 0.871 0.684 0.553
Mn10 0.972 0.877 0.853
Si1 0.150 0.076 0.656
Si2 0.242 0.255 0.912
Si3 0.296 0.549 0.266
Si4 0.361 0.739 0.534
Si5 0.494 0.224 0.125
Si6 0.506 0.776 0.875
Si7 0.639 0.261 0.466
Si8 0.704 0.451 0.734
Si9 0.758 0.745 0.088
Si10 0.850 0.924 0.344
O1 0.045 0.045 0.320
O2 0.055 0.156 0.961
O3 0.108 0.405 0.268
O4 0.110 0.251 0.612
O5 0.189 0.452 0.905
O6 0.195 0.598 0.565
O7 0.262 0.696 0.195
O8 0.269 0.795 0.869
O9 0.285 0.945 0.564
O10 0.293 0.138 0.780
O11 0.339 0.069 0.146
O12 0.382 0.681 0.393
O13 0.419 0.233 0.403
O14 0.444 0.257 0.995
O15 0.482 0.427 0.219
O16 0.518 0.573 0.781
O17 0.556 0.743 0.005
O18 0.581 0.767 0.597
O19 0.618 0.319 0.607
O20 0.661 0.931 0.854
O21 0.707 0.862 0.220
O22 0.715 0.055 0.436
O23 0.731 0.205 0.131
O24 0.738 0.304 0.805
O25 0.805 0.402 0.435
O26 0.811 0.548 0.095
O27 0.890 0.749 0.388
O28 0.892 0.595 0.732
O29 0.945 0.844 0.039
O30 0.955 0.955 0.680

Values from the calculation:
**Crystal system**: triclinic
**Electronic total energy**: -0.5827 Ry per atom
**Space group**: No. 2